This record from Alexandria via LeMat-Bulk describes a relaxed structure of Zn4Cu5Ir. The functional is PBE.

The structure in POSCAR format:
```
Zn4Cu5Ir
1.0
-3.7668 3.7668 2.5451
3.7668 -3.7668 2.5451
3.7668 3.7668 -2.5451
Zn Cu Ir
4 5 1
direct
0.1155 0.2537 0.3691
0.2537 0.8845 0.1382
0.7463 0.1155 0.8618
0.8845 0.7463 0.6309
0.1791 0.5674 0.7368
0.2573 0.2573 0.0000
0.4423 0.1791 0.6117
0.5674 0.8306 0.3883
0.8306 0.4423 0.2632
0.7266 0.7266 0.0000
```

Properties
symmetry = I4, No. 79
formation energy = 166.5 meV per atom


This record from Alexandria via LeMat-Bulk describes a relaxed structure of Mg2FeN2. The functional is PBE.

The structure in POSCAR format:
```
Mg2FeN2
1.0
5.0469 -2.1596 0.0000
5.0469 2.1596 0.0000
-2.9762 0.0000 5.4551
Mg Fe N
4 2 4
direct
0.0288 0.0288 0.2514
0.3229 0.3229 0.9058
0.6771 0.6771 0.0942
0.9712 0.9712 0.7486
0.3686 0.3686 0.3750
0.6314 0.6314 0.6250
0.1803 0.1803 0.1069
0.4769 0.4769 0.7128
0.5231 0.5231 0.2872
0.8197 0.8197 0.8931
```

Properties
formation energy (no corrections) = -0.47 eV/atom
symmetry = C2/m, No. 12
E above lowest polymorph = 0 meV/atom


| no. | Fermi-level density of states (states/eV/atom) | E (eV/f.u.) | total moment (μB/atom) |
| --- | --- | --- | --- |
| 1 | 0.302 | -32.77 | 0.00 |
| 2 | 0.200 | -30.63 | 0.41 |